Arrangement 1

La3Tb2Tl3 | PBE-GGA | optimized geometry

Calculated values
Total magnetization (μB/f.u.): 0.0
Fermi-level density of states (states/eV per cell): 19.62

Lattice parameters (Å, degrees): 3.898 5.610 23.346 90.00 90.00 90.00
Space group Immm (No. 71)
Asymmetric unit:
La1 0.000 0.000 0.000 x2
La2 0.000 0.500 0.125 x4
Tb1 0.000 0.000 0.235 x4
Tl1 0.000 0.000 0.500 x2
Tl2 0.000 0.500 0.376 x4


Arrangement 2

La3Tb2Tl3 | PBE-GGA | optimized geometry

Calculated values
Total magnetization (μB/f.u.): 0.0
Fermi-level density of states (states/eV per cell): 11.74

Lattice parameters (Å, degrees): 8.9872 8.9872 3.4654 90.00 90.00 120.00
Space group P-62m (No. 189)
Asymmetric unit:
La1 0.0000 0.7576 0.0000 x3
Tb1 0.3333 0.6667 0.0000 x2
Tl1 0.0000 0.3900 0.5000 x3


Of them, the most stable is arrangement 1 and the least stable is arrangement 2.


Arrangement 1

La3Tb3Tl2 | PBE-GGA | optimized geometry

Calculated values
Total magnetization (μB/f.u.): 1.5
Fermi-level density of states (states/eV per cell): 31.43

Lattice parameters (Å, degrees): 8.9257 8.9257 10.9808 90.00 90.00 120.00
Space group R32 (No. 155, hexagonal axes)
Asymmetric unit:
La1 0.0000 0.2559 0.0000 x9
Tb1 0.0000 0.7572 0.5000 x9
Tl1 0.0000 0.0000 0.2505 x6


Arrangement 2

La3Tb3Tl2 | PBE-GGA | optimized geometry

Calculated values
Total magnetization (μB/f.u.): 0.0
Fermi-level density of states (states/eV per cell): 45.89

Lattice parameters (Å, degrees): 5.209 12.182 16.762 90.00 90.00 90.00
Space group Cmcm (No. 63)
Asymmetric unit:
La1 0.000 0.047 0.106 x8
La2 0.000 0.290 0.250 x4
Tb1 0.000 0.366 0.042 x8
Tb2 0.000 0.430 0.750 x4
Tl1 0.000 0.237 0.622 x8


Of them, the most stable is arrangement 1 and the least stable is arrangement 2.


Arrangement 1

LaTbTlZn | PBE-GGA | optimized geometry

Calculated values
Total magnetization (μB/f.u.): 0.0
Fermi-level density of states (states/eV per cell): 3.53

Lattice parameters (Å, degrees): 3.753 3.753 7.708 90.00 90.00 90.00
Space group P4mm (No. 99)
Asymmetric unit:
La1 0.000 0.000 0.000 x1
Tb1 0.000 0.000 0.546 x1
Tl1 0.500 0.500 0.291 x1
Zn1 0.500 0.500 0.749 x1


Arrangement 2

LaTbTlZn | PBE-GGA | optimized geometry

Calculated values
Total magnetization (μB/f.u.): 0.0
Fermi-level density of states (states/eV per cell): 20.18

Lattice parameters (Å, degrees): 7.618 7.618 7.618 90.00 90.00 90.00
Space group F-43m (No. 216)
Asymmetric unit:
La1 0.000 0.000 0.000 x4
Tb1 0.000 0.000 0.500 x4
Tl1 0.250 0.250 0.250 x4
Zn1 0.250 0.250 0.750 x4


Of them, the most stable is arrangement 1 and the least stable is arrangement 2.


Arrangement 1

La4Tb7Tm | PBE-GGA | optimized geometry

Calculated values
Total magnetization (μB/f.u.): 0.0
Fermi-level density of states (states/eV per cell): 38.94

Lattice parameters (Å, degrees): 12.083 5.967 12.896 90.00 116.00 90.00
Space group C2/m (No. 12)
Asymmetric unit:
La1 0.091 0.000 0.289 x4
La2 0.133 0.500 0.776 x4
Tb1 0.000 0.000 0.000 x2
Tb2 0.133 0.500 0.489 x4
Tb3 0.168 0.000 0.633 x4
Tb4 0.211 0.000 0.917 x4
Tm1 0.000 0.500 0.000 x2


Arrangement 2

La4Tb7Tm | PBE-GGA | optimized geometry

Calculated values
Total magnetization (μB/f.u.): 0.0
Fermi-level density of states (states/eV per cell): 17.73

Lattice parameters (Å, degrees): 3.6185 3.6185 35.3814 90.00 90.00 120.00
Space group P-3m1 (No. 164)
Asymmetric unit:
La1 0.3333 0.6667 0.1653 x2
La2 0.3333 0.6667 0.4160 x2
Tb1 0.0000 0.0000 0.2503 x2
Tb2 0.0000 0.0000 0.5000 x1
Tb3 0.3333 0.6667 0.6688 x2
Tb4 0.3333 0.6667 0.9199 x2
Tm1 0.0000 0.0000 0.0000 x1


Of them, the most stable is arrangement 2 and the least stable is arrangement 1.


Arrangement 1

La2Tb3Tm4 | PBE-GGA | optimized geometry

Calculated values
Total magnetization (μB/f.u.): 0.0
Fermi-level density of states (states/eV per cell): 68.32

Lattice parameters (Å, degrees): 6.105 12.412 15.813 90.00 90.00 90.00
Space group Fmmm (No. 69)
Asymmetric unit:
La1 0.000 0.000 0.115 x8
Tb1 0.000 0.000 0.500 x4
Tb2 0.250 0.250 0.000 x8
Tm1 0.000 0.143 0.312 x16


Arrangement 2

La2Tb3Tm4 | PBE-GGA | optimized geometry

Calculated values
Total magnetization (μB/f.u.): 0.0
Fermi-level density of states (states/eV per cell): 54.44

Lattice parameters (Å, degrees): 16.487 11.625 6.110 90.00 96.95 90.00
Space group C2/c (No. 15)
Asymmetric unit:
La1 0.124 0.142 0.321 x8
Tb1 0.000 0.104 0.750 x4
Tb2 0.163 0.399 0.605 x8
Tm1 0.047 0.365 0.019 x8
Tm2 0.222 0.137 0.849 x8


Of them, the most stable is arrangement 2 and the least stable is arrangement 1.


Arrangement 1

La2Tb2Tm5 | PBE-GGA | optimized geometry

Calculated values
Total magnetization (μB/f.u.): 0.0
Fermi-level density of states (states/eV per cell): 64.36

Lattice parameters (Å, degrees): 14.906 11.832 6.716 90.00 90.00 90.00
Space group Ima2 (No. 46)
Asymmetric unit:
La1 0.127 0.000 0.000 x8
Tb1 0.000 0.000 0.543 x4
Tb2 0.250 0.010 0.454 x4
Tm1 0.053 0.745 0.859 x8
Tm2 0.143 0.233 0.675 x8
Tm3 0.250 0.744 0.649 x4


Arrangement 2

La2Tb2Tm5 | PBE-GGA | optimized geometry

Calculated values
Total magnetization (μB/f.u.): 0.0
Fermi-level density of states (states/eV per cell): 26.93

Lattice parameters (Å, degrees): 21.605 3.478 8.260 90.00 100.55 90.00
Space group C2/m (No. 12)
Asymmetric unit:
La1 0.181 0.000 0.142 x4
Tb1 0.046 0.500 0.356 x4
Tm1 0.000 0.000 0.000 x2
Tm2 0.096 0.000 0.730 x4
Tm3 0.191 0.500 0.533 x4


Of them, the most stable is arrangement 1 and the least stable is arrangement 2.


Arrangement 1

LaTb4Tm2 | PBE-GGA | optimized geometry

Calculated values
Total magnetization (μB/f.u.): 0.0
Fermi-level density of states (states/eV per cell): 22.02

Lattice parameters (Å, degrees): 7.074 8.613 8.841 114.69 101.39 101.74
Space group P1 (No. 1)
Asymmetric unit:
La1 0.000 0.000 0.000 x1
La2 0.302 0.671 0.547 x1
Tb1 0.025 0.829 0.280 x1
Tb2 0.107 0.555 0.875 x1
Tb3 0.388 0.404 0.139 x1
Tb4 0.413 0.230 0.417 x1
Tb5 0.501 0.003 0.004 x1
Tb6 0.608 0.555 0.873 x1
Tb7 0.705 0.117 0.705 x1
Tb8 0.908 0.233 0.417 x1
Tm1 0.207 0.123 0.707 x1
Tm2 0.525 0.825 0.275 x1
Tm3 0.800 0.668 0.537 x1
Tm4 0.883 0.406 0.137 x1


Arrangement 2

LaTb4Tm2 | PBE-GGA | optimized geometry

Calculated values
Total magnetization (μB/f.u.): 0.0
Fermi-level density of states (states/eV per cell): 18.50

Lattice parameters (Å, degrees): 4.537 4.537 22.653 90.00 90.00 90.00
Space group I4/mmm (No. 139)
Asymmetric unit:
La1 0.000 0.000 0.000 x2
Tb1 0.000 0.000 0.140 x4
Tb2 0.000 0.500 0.250 x4
Tm1 0.000 0.000 0.400 x4


Of them, the most stable is arrangement 1 and the least stable is arrangement 2.


Arrangement 1

La3Tb6Tm | PBE-GGA | optimized geometry

Calculated values
Total magnetization (μB/f.u.): 0.0
Fermi-level density of states (states/eV per cell): 65.45

Lattice parameters (Å, degrees): 9.9477 9.9477 11.7309 90.00 90.00 120.00
Space group R-3 (No. 148, hexagonal axes)
Asymmetric unit:
La1 0.0000 0.0000 0.0000 x3
La2 0.0000 0.0000 0.2473 x6
Tb1 0.0054 0.6616 0.9176 x18
Tm1 0.0000 0.0000 0.5000 x3


Arrangement 2

La3Tb6Tm | PBE-GGA | optimized geometry

Calculated values
Total magnetization (μB/f.u.): 0.0
Fermi-level density of states (states/eV per cell): 56.44

Lattice parameters (Å, degrees): 11.040 19.134 6.394 90.00 90.00 90.00
Space group Cmc2_1 (No. 36)
Asymmetric unit:
La1 0.000 0.113 0.000 x4
La2 0.173 0.386 0.396 x8
Tb1 0.000 0.226 0.573 x4
Tb2 0.000 0.463 0.805 x4
Tb3 0.169 0.046 0.480 x8
Tb4 0.239 0.211 0.296 x8
Tm1 0.000 0.306 0.049 x4


Of them, the most stable is arrangement 2 and the least stable is arrangement 1.